A plane-wave DFT calculation with PBE-GGA was carried out for a geometry-optimized Cu4WCl structure.

Cell lengths 4.9544, 4.9544, 4.9544 Å; angles 60.00, 60.00, 60.00 degrees
Last column: magnetic moment on the atom in μB.
Element x y z (fractional)
Cu 0.8728 0.3757 0.3757  0.13
Cu 0.3757 0.3757 0.8728  0.13
Cu 0.3757 0.8728 0.3757  0.13
Cu 0.3757 0.3757 0.3757  0.13
W 0.7500 0.7500 0.7500  2.02
Cl 0.0000 0.0000 0.0000  0.00

The value obtained for the raw formation energy is 766 meV/atom. The total DFT energy (no corrections) is -4.432 eV/atom.

---

A plane-wave DFT calculation with PBE-GGA was carried out for a geometry-optimized CuWCl2 structure.

Cell lengths 2.9362, 3.6485, 5.9215 Å; angles 90.00, 90.00, 90.00 degrees
Element x y z (fractional)
Cu 0.5000 0.5000 0.2500
W 0.5000 0.5000 0.7500
Cl 0.0000 0.0000 0.9839
Cl 0.0000 0.0000 0.5161

The value obtained for the raw formation energy is 893 meV/atom. The energy above the lowest structure with this stoichiometry comes out at 873.0 meV/atom. The total DFT energy (no corrections) is -4.293 eV/atom.

---

Question: Look up the total DFT energy (no corrections) of the first one.
Answer: -4.432 eV/atom

---

Question: Which formula does entry 2 have?
Answer: CuWCl2